First-principles (PBE-GGA) data for an optimized crystal structure of Ba2AlW, as listed in Alexandria via LeMat-Bulk.

The density of states at the Fermi level comes out at 4.726 states/eV per cell. As for the calculated volume: 29.6 A^3/atom. The value obtained for the total energy is -4.048 eV per atom. For the formation enthalpy at 0 K, the calculation gives 1.087 eV/atom.

abc: 3.2017 4.9990 7.3948
angles: 90.00 90.00 90.00
Space group Pmmm (No. 47)
Unique sites:
Ba 0.0000 0.0000 0.2452 [2 per cell]
Al 0.5000 0.5000 0.5000 [1 per cell]
W 0.5000 0.5000 0.0000 [1 per cell]

=====

First-principles (PBE-GGA) data for an optimized crystal structure of NdZn3PdRh, as listed in Alexandria via LeMat-Bulk.

The density of states at the Fermi level comes out at 10.941 states/eV per cell. As for the calculated volume: 18.5 A^3/atom. The value obtained for the total energy is -3.953 eV per atom. For the formation enthalpy at 0 K, the calculation gives -0.431 eV/atom.

abc: 6.3321 12.9503 5.4282
angles: 90.00 90.00 90.00
Space group Cmcm (No. 63)
Unique sites:
Nd 0.0000 0.2264 0.2500 [4 per cell]
Zn 0.0000 0.3612 0.7500 [4 per cell]
Zn 0.1980 0.0000 0.0000 [8 per cell]
Pd 0.0000 0.1522 0.7500 [4 per cell]
Rh 0.0000 0.4306 0.2500 [4 per cell]

=====

First-principles (PBE-GGA) data for an optimized crystal structure of Tl11Se5Cl, as listed in Alexandria via LeMat-Bulk.

The uncorrected formation energy is -369 meV per atom. The density of states at the Fermi level comes out at 0.864 states/eV per cell. As for the calculated volume: 35.1 A^3/atom. The value obtained for the total energy is -3.034 eV per atom.

abc: 10.4425 16.5729 7.2257
angles: 90.00 107.35 90.00
Space group C2/m (No. 12)
Unique sites:
Tl 0.0000 0.0000 0.0000 [2 per cell]
Tl 0.0600 0.2148 0.7662 [8 per cell]
Tl 0.1438 0.5000 0.9346 [4 per cell]
Tl 0.2181 0.3857 0.4391 [8 per cell]
Se 0.0000 0.5000 0.5000 [2 per cell]
Se 0.2139 0.1505 0.1481 [8 per cell]
Cl 0.0000 0.0000 0.5000 [2 per cell]

=====

First-principles (PBE-GGA) data for an optimized crystal structure of Ac2Si3RuPt12, as listed in Alexandria via LeMat-Bulk.

The uncorrected formation energy is -391 meV per atom. The density of states at the Fermi level comes out at 32.455 states/eV per cell. As for the calculated volume: 20.8 A^3/atom. The value obtained for the total energy is -6.294 eV per atom.

abc: 8.2045 8.2045 19.2626
angles: 90.00 90.00 120.00
Space group R-3m (No. 166, hexagonal axes)
Unique sites:
Ac 0.0000 0.0000 0.1162 [6 per cell]
Si 0.0000 0.5000 0.0000 [9 per cell]
Ru 0.0000 0.0000 0.5000 [3 per cell]
Pt 0.0016 0.5008 0.1212 [18 per cell]
Pt 0.0307 0.5153 0.3673 [18 per cell]

=====

First-principles (PBE-GGA) data for an optimized crystal structure of Ta2ReMo, as listed in Alexandria via LeMat-Bulk.

The density of states at the Fermi level comes out at 2.015 states/eV per cell. As for the calculated volume: 16.6 A^3/atom. The value obtained for the total energy is -11.946 eV per atom. For the formation enthalpy at 0 K, the calculation gives -0.200 eV/atom.

abc: 3.2095 4.6111 8.9851
angles: 90.00 90.00 90.00
Space group Immm (No. 71)
Unique sites:
Ta 0.0000 0.0000 0.2490 [4 per cell]
Re 0.0000 0.5000 0.5000 [2 per cell]
Mo 0.0000 0.5000 0.0000 [2 per cell]

=====

First-principles (PBE-GGA) data for an optimized crystal structure of BaCdCo2C, as listed in Alexandria via LeMat-Bulk.

The density of states at the Fermi level comes out at 2.765 states/eV per cell. As for the calculated volume: 17.0 A^3/atom. The value obtained for the total energy is -4.429 eV per atom. For the formation enthalpy at 0 K, the calculation gives 0.826 eV/atom.

abc: 4.1888 4.1888 4.8420
angles: 90.00 90.00 90.00
Space group P4/mmm (No. 123)
Unique sites:
Ba 0.0000 0.0000 0.0000 [1 per cell]
Cd 0.5000 0.5000 0.0000 [1 per cell]
Co 0.0000 0.5000 0.5000 [2 per cell]
C 0.5000 0.5000 0.5000 [1 per cell]

=====

First-principles (PBE-GGA) data for an optimized crystal structure of K3BaAu4, as listed in Alexandria via LeMat-Bulk.

The density of states at the Fermi level comes out at 3.262 states/eV per cell. As for the calculated volume: 32.6 A^3/atom. The value obtained for the total energy is -2.692 eV per atom. For the formation enthalpy at 0 K, the calculation gives -0.401 eV/atom.

abc: 4.0426 4.0426 15.9407
angles: 90.00 90.00 90.00
Space group P4/mmm (No. 123)
Unique sites:
K 0.0000 0.0000 0.0000 [1 per cell]
K 0.0000 0.0000 0.2438 [2 per cell]
Ba 0.0000 0.0000 0.5000 [1 per cell]
Au 0.5000 0.5000 0.1246 [2 per cell]
Au 0.5000 0.5000 0.3853 [2 per cell]

=====

First-principles (PBE-GGA) data for an optimized crystal structure of SrMg2Cu2, as listed in Alexandria via LeMat-Bulk.

The density of states at the Fermi level comes out at 3.809 states/eV per cell. As for the calculated volume: 21.7 A^3/atom. The value obtained for the total energy is -2.567 eV per atom. For the formation enthalpy at 0 K, the calculation gives 0.045 eV/atom.

abc: 7.8003 7.8003 3.5715
angles: 90.00 90.00 90.00
Space group P4/mbm (No. 127)
Unique sites:
Sr 0.0000 0.0000 0.0000 [2 per cell]
Mg 0.1541 0.3459 0.5000 [4 per cell]
Cu 0.1184 0.6184 0.0000 [4 per cell]

=====

Question: What is the calculated volume in the eighth record?
Answer: 21.7 A^3/atom

=====

Question: Which of these has the highest calculated volume?
Answer: Tl11Se5Cl